## Pm2PrNd3Sm6 (GGA-PBE)

Data for a relaxed Pm2PrNd3Sm6 crystal.

Summary:
The formation energy comes out at 0.012 eV/atom. Its space group is No. 12.

Unit cell a=6.333 b=6.333 c=12.097 alpha=95.02 beta=95.02 gamma=120.00
Sites, in units of the cell vectors:
Pm (0.333, 0.667, 0.000)
Pm (0.667, 0.333, 0.000)
Pr (0.000, 0.000, 0.000)
Nd (0.167, 0.833, 0.500)
Nd (0.833, 0.167, 0.500)
Nd (0.500, 0.500, 0.500)
Sm (0.916, 0.583, 0.750)
Sm (0.750, 0.750, 0.250)
Sm (0.084, 0.417, 0.250)
Sm (0.583, 0.916, 0.750)
Sm (0.250, 0.250, 0.750)
Sm (0.417, 0.084, 0.250)

=====

## Ti2I3Cl (GGA-PBE)

Data for a relaxed Ti2I3Cl crystal.

Summary:
Its space group is No. 12.

Unit cell a=4.065 b=9.389 c=11.608 alpha=104.17 beta=90.00 gamma=102.50
Each line ends with the local moment (μB).
Sites, in units of the cell vectors:
Ti (0.081, 0.161, 0.767)  1.64
Ti (0.919, 0.839, 0.233)  1.64
Ti (0.396, 0.792, 0.545)  1.68
Ti (0.604, 0.208, 0.455)  1.68
I (0.913, 0.826, 0.732)  -0.03
I (0.087, 0.174, 0.268)  -0.03
I (0.368, 0.737, 0.064)  -0.02
I (0.632, 0.263, 0.936)  -0.02
I (0.194, 0.387, 0.614)  -0.03
I (0.806, 0.613, 0.386)  -0.03
Cl (0.540, 0.081, 0.630)  -0.03
Cl (0.460, 0.919, 0.370)  -0.03

=====

## TiSn2AsP (GGA-PBE)

Data for a relaxed TiSn2AsP crystal.

Summary:
The formation energy comes out at 0.412 eV/atom. Its space group is No. 123.

Unit cell a=5.386 b=4.558 c=5.386 alpha=90.00 beta=90.00 gamma=90.00
Each line ends with the local moment (μB).
Sites, in units of the cell vectors:
P (0.000, 0.500, 0.000)  0.03
As (0.500, 0.500, 0.500)  0.26
Sn (0.000, 0.000, 0.500)  0.01
Sn (0.500, 0.000, 0.000)  0.00
Ti (0.000, 0.000, 0.000)  0.06

=====

## NbRhS2N (GGA-PBE)

Data for a relaxed NbRhS2N crystal.

Summary:
The calculation puts the energy above the most stable polymorph in this dataset at 0.37 eV per formula unit. Its space group is No. 123.

Unit cell a=4.822 b=4.822 c=3.611 alpha=90.00 beta=90.00 gamma=90.00
Each line ends with the local moment (μB).
Sites, in units of the cell vectors:
Nb (0.500, 0.500, 0.500)  2.00
Rh (0.000, 0.000, 0.000)  0.06
S (0.000, 0.500, 0.000)  -0.08
S (0.500, 0.000, 0.000)  -0.08
N (0.000, 0.000, 0.500)  0.03

=====

## BaInBi4 (GGA-PBE)

Data for a relaxed BaInBi4 crystal.

Summary:
The formation energy comes out at -0.251 eV/atom. The calculation puts the energy above the most stable polymorph in this dataset at 0.00 eV per formula unit. Its space group is No. 216.

Unit cell a=6.722 b=6.722 c=6.722 alpha=60.00 beta=60.00 gamma=60.00
Sites, in units of the cell vectors:
In (0.000, 0.000, 0.000)
Bi (0.627, 0.627, 0.119)
Bi (0.627, 0.119, 0.627)
Bi (0.627, 0.627, 0.627)
Bi (0.119, 0.627, 0.627)
Ba (0.250, 0.250, 0.250)

=====

## Tm3Zn2Pd5 (GGA-PBE)

Data for a relaxed Tm3Zn2Pd5 crystal.

Summary:
The formation energy comes out at -0.802 eV/atom. Its space group is No. 127.

Unit cell a=3.861 b=9.764 c=9.764 alpha=90.00 beta=90.00 gamma=90.00
Sites, in units of the cell vectors:
Tm (0.000, 0.325, 0.825)
Tm (0.000, 0.675, 0.175)
Tm (0.000, 0.175, 0.325)
Tm (0.000, 0.825, 0.675)
Tm (0.000, 0.000, 0.000)
Tm (0.000, 0.500, 0.500)
Zn (0.000, 0.121, 0.621)
Zn (0.000, 0.879, 0.379)
Zn (0.000, 0.379, 0.121)
Zn (0.000, 0.621, 0.879)
Pd (0.500, 0.210, 0.071)
Pd (0.500, 0.790, 0.929)
Pd (0.500, 0.929, 0.210)
Pd (0.500, 0.071, 0.790)
Pd (0.500, 0.290, 0.571)
Pd (0.500, 0.710, 0.429)
Pd (0.500, 0.571, 0.710)
Pd (0.500, 0.429, 0.290)
Pd (0.500, 0.000, 0.500)
Pd (0.500, 0.500, 0.000)

=====

## La4GaCl6 (GGA-PBE)

Data for a relaxed La4GaCl6 crystal.

Summary:
Its space group is No. 137.

Unit cell a=6.796 b=9.815 c=9.815 alpha=90.00 beta=90.00 gamma=90.00
Sites, in units of the cell vectors:
La (0.265, 0.000, 0.233)
La (0.765, 0.733, 0.500)
La (0.765, 0.267, 0.500)
La (0.265, 0.000, 0.767)
La (0.235, 0.500, 0.733)
La (0.735, 0.233, 0.000)
La (0.735, 0.767, 0.000)
La (0.235, 0.500, 0.267)
Ga (0.000, 0.500, 0.500)
Ga (0.500, 0.000, 0.000)
Cl (0.500, 0.735, 0.265)
Cl (0.500, 0.265, 0.265)
Cl (0.004, 0.000, 0.500)
Cl (0.504, 0.000, 0.500)
Cl (0.500, 0.265, 0.735)
Cl (0.500, 0.735, 0.735)
Cl (0.000, 0.765, 0.765)
Cl (0.000, 0.235, 0.765)
Cl (0.996, 0.500, 0.000)
Cl (0.496, 0.500, 0.000)
Cl (0.000, 0.765, 0.235)
Cl (0.000, 0.235, 0.235)

=====

## BaAcBiSb (GGA-PBE)

Data for a relaxed BaAcBiSb crystal.

Summary:
Its space group is No. 216.

Unit cell a=5.954 b=5.954 c=5.954 alpha=60.00 beta=60.00 gamma=60.00
Sites, in units of the cell vectors:
Sb (0.250, 0.250, 0.250)
Ac (0.000, 0.000, 0.000)
Bi (0.750, 0.750, 0.750)
Ba (0.500, 0.500, 0.500)

=====

## Y2HoScO6 (GGA-PBE)

Data for a relaxed Y2HoScO6 crystal.

Summary:
Its space group is No. 146.

Unit cell a=5.705 b=5.705 c=5.964 alpha=61.42 beta=61.43 gamma=60.00
Sites, in units of the cell vectors:
Y (0.528, 0.528, 0.416)
Y (0.026, 0.026, 0.923)
Ho (0.808, 0.808, 0.576)
Sc (0.313, 0.313, 0.062)
O (0.601, 0.203, 0.252)
O (0.203, 0.943, 0.252)
O (0.943, 0.601, 0.252)
O (0.424, 0.694, 0.761)
O (0.694, 0.121, 0.761)
O (0.121, 0.424, 0.761)

=====

## CsBi3Pt (GGA-PBE)

Data for a relaxed CsBi3Pt crystal.

Summary:
The formation energy comes out at 1.999 eV/atom. The calculation puts the energy above the most stable polymorph in this dataset at 11.41 eV per formula unit. Its space group is No. 221.

Unit cell a=6.147 b=6.147 c=6.147 alpha=90.00 beta=90.00 gamma=90.00
Sites, in units of the cell vectors:
Cs (0.000, 0.000, 0.000)
Bi (0.000, 0.500, 0.000)
Bi (0.000, 0.000, 0.500)
Bi (0.500, 0.000, 0.000)
Pt (0.500, 0.500, 0.500)

=====

## Zr3In2Te6 (GGA-PBE)

Data for a relaxed Zr3In2Te6 crystal.

Summary:
Its space group is No. 12.

Unit cell a=6.953 b=6.954 c=8.665 alpha=82.29 beta=74.43 gamma=60.01
Sites, in units of the cell vectors:
Zr (0.000, 0.000, 0.000)
Zr (0.331, 0.337, 0.000)
Zr (0.669, 0.663, 0.000)
In (0.166, 0.668, 0.500)
In (0.834, 0.332, 0.500)
Te (0.406, 0.668, 0.783)
Te (0.737, 0.000, 0.783)
Te (0.074, 0.332, 0.783)
Te (0.263, 0.000, 0.217)
Te (0.594, 0.332, 0.217)
Te (0.926, 0.668, 0.217)

=====

## CePr2Nd2 (GGA-PBE)

Data for a relaxed CePr2Nd2 crystal.

Summary:
The formation energy comes out at 0.495 eV/atom. The calculation puts the energy above the most stable polymorph in this dataset at 0.55 eV per formula unit. Its space group is No. 139.

Unit cell a=6.169 b=6.169 c=6.521 alpha=118.23 beta=118.23 gamma=90.00
Each line ends with the local moment (μB).
Sites, in units of the cell vectors:
Ce (0.000, 0.000, 0.000)  0.91
Pr (0.750, 0.250, 0.500)  0.00
Pr (0.250, 0.750, 0.500)  0.00
Nd (0.349, 0.349, 0.699)  0.01
Nd (0.651, 0.651, 0.301)  0.01

=====

## KZr2Au (GGA-PBE)

Data for a relaxed KZr2Au crystal.

Summary:
The formation energy comes out at 0.287 eV/atom. The calculation puts the energy above the most stable polymorph in this dataset at 1.31 eV per formula unit. Its space group is No. 47.

Unit cell a=3.116 b=4.134 c=9.101 alpha=90.00 beta=90.00 gamma=90.00
Each line ends with the local moment (μB).
Sites, in units of the cell vectors:
Au (0.500, 0.500, 0.250)  0.02
K (0.500, 0.500, 0.750)  0.01
Zr (0.000, 0.000, 0.096)  0.27
Zr (0.000, 0.000, 0.404)  0.27

=====

## Na3ZrC (GGA-PBE)

Data for a relaxed Na3ZrC crystal.

Summary:
The formation energy comes out at 2.401 eV/atom. The calculation puts the energy above the most stable polymorph in this dataset at 4.55 eV per formula unit. Its space group is No. 221.

Unit cell a=6.279 b=6.279 c=6.279 alpha=90.00 beta=90.00 gamma=90.00
Each line ends with the local moment (μB).
Sites, in units of the cell vectors:
Na (0.000, 0.500, 0.000)  0.04
Na (0.000, 0.000, 0.500)  0.03
Na (0.500, 0.000, 0.000)  0.06
C (0.500, 0.500, 0.500)  -1.05
Zr (0.000, 0.000, 0.000)  1.81

=====

## Pu3As2O (GGA-PBE)

Data for a relaxed Pu3As2O crystal.

Summary:
The calculation puts the energy above the most stable polymorph in this dataset at 0.00 eV per formula unit. Its space group is No. 15.

Unit cell a=5.795 b=7.783 c=6.856 alpha=106.46 beta=115.00 gamma=90.00
Each line ends with the local moment (μB).
Sites, in units of the cell vectors:
Pu (0.457, 0.250, 0.000)  5.15
Pu (0.543, 0.750, 0.000)  5.15
Pu (0.139, 0.071, 0.282)  5.24
Pu (0.858, 0.429, 0.718)  5.24
Pu (0.142, 0.571, 0.282)  5.24
Pu (0.861, 0.929, 0.718)  5.24
As (0.680, 0.588, 0.354)  -0.16
As (0.674, 0.088, 0.354)  -0.16
As (0.326, 0.912, 0.646)  -0.16
As (0.320, 0.412, 0.646)  -0.16
O (0.938, 0.750, 0.000)  -0.13
O (0.062, 0.250, 0.000)  -0.13

=====

## Er8Tl2Pd (GGA-PBE)

Data for a relaxed Er8Tl2Pd crystal.

Summary:
The formation energy comes out at -0.259 eV/atom. Its space group is No. 12.

Unit cell a=5.036 b=6.714 c=9.570 alpha=99.27 beta=105.25 gamma=90.00
Sites, in units of the cell vectors:
Er (0.410, 0.533, 0.819)
Er (0.647, 0.989, 0.294)
Er (0.794, 0.683, 0.587)
Er (0.984, 0.232, 0.969)
Er (0.206, 0.317, 0.413)
Er (0.353, 0.011, 0.706)
Er (0.590, 0.467, 0.181)
Er (0.016, 0.768, 0.031)
Tl (0.812, 0.238, 0.623)
Tl (0.188, 0.762, 0.377)
Pd (0.500, 0.000, 0.000)

=====

## V2CoMoH (GGA-PBE)

Data for a relaxed V2CoMoH crystal.

Summary:
The calculation puts the energy above the most stable polymorph in this dataset at 0.00 eV per formula unit. Its space group is No. 123.

Unit cell a=4.111 b=4.111 c=3.247 alpha=90.00 beta=90.00 gamma=90.00
Sites, in units of the cell vectors:
H (0.000, 0.000, 0.000)
Mo (0.500, 0.500, 0.500)
Co (0.000, 0.000, 0.500)
V (0.000, 0.500, 0.000)
V (0.500, 0.000, 0.000)

=====

## NaFeTeI2 (GGA-PBE)

Data for a relaxed NaFeTeI2 crystal.

Summary:
The calculation puts the energy above the most stable polymorph in this dataset at 3.81 eV per formula unit. Its space group is No. 123.

Unit cell a=5.700 b=5.700 c=5.746 alpha=90.00 beta=90.00 gamma=90.00
Each line ends with the local moment (μB).
Sites, in units of the cell vectors:
I (0.000, 0.500, 0.000)  0.04
I (0.500, 0.000, 0.000)  0.04
Na (0.000, 0.000, 0.000)  0.00
Te (0.000, 0.000, 0.500)  0.04
Fe (0.500, 0.500, 0.500)  3.40

=====

## LiYPa2As4 (GGA-PBE)

Data for a relaxed LiYPa2As4 crystal.

Summary:
The formation energy comes out at -1.029 eV/atom. Its space group is No. 10.

Unit cell a=4.124 b=6.948 c=7.144 alpha=70.04 beta=90.00 gamma=90.00
Sites, in units of the cell vectors:
Li (0.500, 0.500, 0.000)
Y (0.000, 0.500, 0.500)
Pa (0.000, 0.000, 0.000)
Pa (0.500, 0.000, 0.500)
As (0.000, 0.756, 0.750)
As (0.000, 0.244, 0.250)
As (0.500, 0.752, 0.245)
As (0.500, 0.248, 0.755)

=====

## ErAg2Pd5 (GGA-PBE)

Data for a relaxed ErAg2Pd5 crystal.

Summary:
The formation energy comes out at -0.302 eV/atom. The calculation puts the energy above the most stable polymorph in this dataset at 1.31 eV per formula unit. Its space group is No. 140.

Unit cell a=7.129 b=7.129 c=7.496 alpha=118.39 beta=118.39 gamma=90.00
Sites, in units of the cell vectors:
Er (0.750, 0.750, 0.500)
Er (0.250, 0.250, 0.500)
Ag (0.148, 0.352, 0.000)
Ag (0.648, 0.148, 0.000)
Ag (0.352, 0.852, 0.000)
Ag (0.852, 0.648, 0.000)
Pd (0.480, 0.689, 0.669)
Pd (0.811, 0.020, 0.331)
Pd (0.000, 0.000, 0.000)
Pd (0.500, 0.500, 0.000)
Pd (0.189, 0.980, 0.669)
Pd (0.689, 0.189, 0.669)
Pd (0.980, 0.480, 0.669)
Pd (0.311, 0.811, 0.331)
Pd (0.020, 0.520, 0.331)
Pd (0.520, 0.311, 0.331)

=====

## ScTa2Os (GGA-PBE)

Data for a relaxed ScTa2Os crystal.

Summary:
The formation energy comes out at -0.145 eV/atom. Its space group is No. 44.

Unit cell a=5.499 b=5.499 c=5.499 alpha=146.42 beta=129.44 gamma=62.07
Sites, in units of the cell vectors:
Os (0.508, 0.508, 0.000)
Sc (0.262, 0.762, 0.500)
Ta (0.993, 0.993, 0.000)
Ta (0.737, 0.237, 0.500)

=====

## In2HgTe4 (GGA-PBE)

Data for a relaxed In2HgTe4 crystal.

Summary:
The calculation puts the energy above the most stable polymorph in this dataset at 1.46 eV per formula unit. Its space group is No. 119.

Unit cell a=7.449 b=7.449 c=7.449 alpha=131.50 beta=131.50 gamma=71.02
Sites, in units of the cell vectors:
In (0.250, 0.750, 0.500)
In (0.500, 0.500, 0.000)
Hg (0.750, 0.250, 0.500)
Te (0.492, 0.992, 0.500)
Te (0.744, 0.744, 0.000)
Te (0.008, 0.508, 0.500)
Te (0.256, 0.256, 0.000)

=====

## CdRu2Br (GGA-PBE)

Data for a relaxed CdRu2Br crystal.

Summary:
The calculation puts the energy above the most stable polymorph in this dataset at 0.57 eV per formula unit. Its space group is No. 160.

Unit cell a=10.345 b=10.345 c=10.345 alpha=16.26 beta=16.26 gamma=16.26
Sites, in units of the cell vectors:
Ru (0.988, 0.988, 0.988)
Ru (0.258, 0.258, 0.258)
Br (0.520, 0.520, 0.520)
Cd (0.734, 0.734, 0.734)

=====

## NdBrCl (GGA-PBE)

Data for a relaxed NdBrCl crystal.

Summary:
Its space group is No. 11.

Unit cell a=5.062 b=5.062 c=7.631 alpha=90.00 beta=108.36 gamma=90.00
Sites, in units of the cell vectors:
Nd (0.250, 0.250, 0.500)
Nd (0.750, 0.750, 0.500)
Cl (0.649, 0.250, 0.287)
Cl (0.351, 0.750, 0.713)
Br (0.869, 0.250, 0.750)
Br (0.131, 0.750, 0.250)

=====

| no. | VASP energy (eV/cell) |
| --- | --- |
| 1 | -56.75 |
| 2 | -52.65 |
| 3 | -23.90 |
| 4 | -31.35 |
| 5 | -21.69 |
| 6 | -99.89 |
| 7 | -105.65 |
| 8 | -17.27 |
| 9 | -88.70 |
| 10 | -8.54 |
| 11 | -57.61 |
| 12 | -22.55 |
| 13 | -20.32 |
| 14 | -9.73 |
| 15 | -131.70 |
| 16 | -49.28 |
| 17 | -39.99 |
| 18 | -12.50 |
| 19 | -54.20 |
| 20 | -77.29 |
| 21 | -41.85 |
| 22 | -18.97 |
| 23 | -19.45 |
| 24 | -27.59 |